Below is a relaxed structure of Dy3Cu2Ni7, with properties calculated at the PBE level.

```
data_Dy3Cu2Ni7
_symmetry_space_group_name_H-M 'P 1'
_symmetry_Int_Tables_number 1
_symmetry_space_group_name_Hall 'P 1'
_cell_length_a 5.005
_cell_length_b 5.005
_cell_length_c 8.600
_cell_angle_alpha 73.08
_cell_angle_beta 73.08
_cell_angle_gamma 60.00
loop_
_atom_site_label
_atom_site_type_symbol
_atom_site_fract_x
_atom_site_fract_y
_atom_site_fract_z
Dy1 Dy 0.000 0.000 0.000
Dy2 Dy 0.861 0.861 0.417
Dy3 Dy 0.139 0.139 0.583
Cu1 Cu 0.666 0.666 0.001
Cu2 Cu 0.334 0.334 0.999
Ni1 Ni 0.500 0.500 0.500
Ni2 Ni 0.919 0.416 0.249
Ni3 Ni 0.416 0.919 0.249
Ni4 Ni 0.416 0.416 0.249
Ni5 Ni 0.081 0.584 0.751
Ni6 Ni 0.584 0.584 0.751
Ni7 Ni 0.584 0.081 0.751
```

Computed properties:
Fermi-level density of states: 0.75 states/eV/atom
Symmetry: R-3m
Energy of formation from the pure elements: -0.40 eV per atom
V: 14.6 Å³/atom

***

Below is a relaxed structure of Dy12CuNi6, with properties calculated at the PBE level.

```
data_Dy12CuNi6
_symmetry_space_group_name_H-M 'P 1'
_symmetry_Int_Tables_number 1
_symmetry_space_group_name_Hall 'P 1'
_cell_length_a 8.060
_cell_length_b 8.060
_cell_length_c 8.060
_cell_angle_alpha 101.45
_cell_angle_beta 101.45
_cell_angle_gamma 101.45
loop_
_atom_site_label
_atom_site_type_symbol
_atom_site_fract_x
_atom_site_fract_y
_atom_site_fract_z
Dy1 Dy 0.825 0.589 0.432
Dy2 Dy 0.432 0.825 0.589
Dy3 Dy 0.589 0.432 0.825
Dy4 Dy 0.175 0.411 0.568
Dy5 Dy 0.568 0.175 0.411
Dy6 Dy 0.411 0.568 0.175
Dy7 Dy 0.084 0.942 0.327
Dy8 Dy 0.058 0.673 0.916
Dy9 Dy 0.673 0.916 0.058
Dy10 Dy 0.916 0.058 0.673
Dy11 Dy 0.942 0.327 0.084
Dy12 Dy 0.327 0.084 0.942
Cu1 Cu 0.000 0.000 0.000
Ni1 Ni 0.686 0.862 0.382
Ni2 Ni 0.618 0.314 0.138
Ni3 Ni 0.138 0.618 0.314
Ni4 Ni 0.314 0.138 0.618
Ni5 Ni 0.382 0.686 0.862
Ni6 Ni 0.862 0.382 0.686
```

Computed properties:
Fermi-level density of states: 1.07 states/eV/atom
Symmetry: R-3
Energy of formation from the pure elements: -0.15 eV per atom
V: 25.6 Å³/atom